Computed, not measured: crystalline Ac2ErPd9 at its relaxed geometry at the PBE level of DFT.

Structure (CIF):
```
data_Ac2ErPd9
_chemical_formula_sum 'Ac2 Er1 Pd9'
_cell_length_a 4.2674
_cell_length_b 4.2674
_cell_length_c 12.6222
_cell_angle_alpha 90.00
_cell_angle_beta 90.00
_cell_angle_gamma 90.00
_symmetry_space_group_name_H-M 'P 4/m m m'
_symmetry_Int_Tables_number 123
_symmetry_space_group_name_Hall '-P 4 2'
loop_
_atom_site_label
_atom_site_type_symbol
_atom_site_fract_x
_atom_site_fract_y
_atom_site_fract_z
Ac1 Ac 0.0000 0.0000 0.1736
Er1 Er 0.0000 0.0000 0.5000
Pd1 Pd 0.0000 0.5000 0.0000
Pd2 Pd 0.0000 0.5000 0.3457
Pd3 Pd 0.5000 0.5000 0.1724
Pd4 Pd 0.5000 0.5000 0.5000
```

Values from the calculation:
energy of formation from the pure elements	-775	meV per atom
DOS(E_F)	7.11	states/eV/f.u.
size of the total moment	0.00	μB per formula unit

=====

Computed, not measured: crystalline Ba2TlF at its relaxed geometry at the PBE level of DFT.

Structure (CIF):
```
data_Ba2TlF
_chemical_formula_sum 'Ba8 Tl4 F4'
_cell_length_a 8.0424
_cell_length_b 8.0424
_cell_length_c 9.3244
_cell_angle_alpha 90.00
_cell_angle_beta 90.00
_cell_angle_gamma 90.00
_symmetry_space_group_name_H-M 'I -4 2 d'
_symmetry_Int_Tables_number 122
_symmetry_space_group_name_Hall 'I -4 2bw'
loop_
_atom_site_label
_atom_site_type_symbol
_atom_site_fract_x
_atom_site_fract_y
_atom_site_fract_z
Ba1 Ba 0.1650 0.2500 0.1250
Tl1 Tl 0.0000 0.0000 0.5000
F1 F 0.0000 0.0000 0.0000
```

Values from the calculation:
formation energy (no corrections)	-1.50	eV per atom
DOS(E_F)	0.25	states/eV/f.u.
size of the total moment	0.00	μB per formula unit

=====

Computed, not measured: crystalline RbZnPb3 at its relaxed geometry at the PBE level of DFT.

Structure (CIF):
```
data_RbZnPb3
_chemical_formula_sum 'Rb2 Zn2 Pb6'
_cell_length_a 5.2503
_cell_length_b 5.2503
_cell_length_c 12.1226
_cell_angle_alpha 90.00
_cell_angle_beta 90.00
_cell_angle_gamma 90.00
_symmetry_space_group_name_H-M 'I 4 m m'
_symmetry_Int_Tables_number 107
_symmetry_space_group_name_Hall 'I 4 -2'
loop_
_atom_site_label
_atom_site_type_symbol
_atom_site_fract_x
_atom_site_fract_y
_atom_site_fract_z
Rb1 Rb 0.0000 0.0000 0.0000
Zn1 Zn 0.0000 0.0000 0.3675
Pb1 Pb 0.0000 0.0000 0.6031
Pb2 Pb 0.0000 0.5000 0.2575
```

Values from the calculation:
energy of formation from the pure elements	-55	meV per atom
DOS(E_F)	2.95	states/eV/f.u.
size of the total moment	0.00	μB per formula unit

=====

Computed, not measured: crystalline EuScZn at its relaxed geometry at the PBE level of DFT.

Structure (CIF):
```
data_EuScZn
_chemical_formula_sum 'Eu2 Sc2 Zn2'
_cell_length_a 3.5509
_cell_length_b 3.5509
_cell_length_c 12.1915
_cell_angle_alpha 90.00
_cell_angle_beta 90.00
_cell_angle_gamma 90.00
_symmetry_space_group_name_H-M 'I 4 m m'
_symmetry_Int_Tables_number 107
_symmetry_space_group_name_Hall 'I 4 -2'
loop_
_atom_site_label
_atom_site_type_symbol
_atom_site_fract_x
_atom_site_fract_y
_atom_site_fract_z
Eu1 Eu 0.0000 0.0000 0.0000
Sc1 Sc 0.0000 0.0000 0.2801
Zn1 Zn 0.0000 0.0000 0.6711
```

Values from the calculation:
energy of formation from the pure elements	-136	meV per atom
DOS(E_F)	3.09	states/eV/f.u.
size of the total moment	7.55	μB per formula unit

=====

Computed, not measured: crystalline Li14ZnGe at its relaxed geometry at the PBE level of DFT.

Structure (CIF):
```
data_Li14ZnGe
_chemical_formula_sum 'Li14 Zn1 Ge1'
_cell_length_a 5.9853
_cell_length_b 5.9853
_cell_length_c 8.0343
_cell_angle_alpha 90.00
_cell_angle_beta 90.00
_cell_angle_gamma 90.00
_symmetry_space_group_name_H-M 'P 4/m m m'
_symmetry_Int_Tables_number 123
_symmetry_space_group_name_Hall '-P 4 2'
loop_
_atom_site_label
_atom_site_type_symbol
_atom_site_fract_x
_atom_site_fract_y
_atom_site_fract_z
Li1 Li 0.0000 0.0000 0.0000
Li2 Li 0.0000 0.5000 0.0000
Li3 Li 0.0000 0.5000 0.5000
Li4 Li 0.2438 0.2438 0.2733
Li5 Li 0.5000 0.5000 0.0000
Zn1 Zn 0.5000 0.5000 0.5000
Ge1 Ge 0.0000 0.0000 0.5000
```

Values from the calculation:
energy of formation from the pure elements	-85	meV per atom
DOS(E_F)	7.12	states/eV/f.u.
size of the total moment	0.00	μB per formula unit

=====

Computed, not measured: crystalline ScCr2Br at its relaxed geometry at the PBE level of DFT.

Structure (CIF):
```
data_ScCr2Br
_chemical_formula_sum 'Sc1 Cr2 Br1'
_cell_length_a 3.1801
_cell_length_b 3.1801
_cell_length_c 7.6265
_cell_angle_alpha 90.00
_cell_angle_beta 90.00
_cell_angle_gamma 90.00
_symmetry_space_group_name_H-M 'P 4 m m'
_symmetry_Int_Tables_number 99
_symmetry_space_group_name_Hall 'P 4 -2'
loop_
_atom_site_label
_atom_site_type_symbol
_atom_site_fract_x
_atom_site_fract_y
_atom_site_fract_z
Sc1 Sc 0.0000 0.0000 0.0000
Cr1 Cr 0.0000 0.0000 0.6069
Cr2 Cr 0.5000 0.5000 0.7595
Br1 Br 0.5000 0.5000 0.2375
```

Values from the calculation:
formation energy (no corrections)	0.02	eV per atom
DOS(E_F)	2.19	states/eV/f.u.
size of the total moment	1.53	μB per formula unit